[1]
An optimized crystal structure of Ac10Tb4Nd, computed with GGA-PBE.

## Properties
mass density: 7.089 g/cm3
E_form: 0.58 eV/atom

The structure in extended XYZ format:
```
15
Lattice="-6.562 6.562 4.147 6.562 -6.562 4.147 6.562 6.562 -4.147" Properties=species:S:1:pos:R:3 pbc="T T T"
Ac 5.248 3.923 -2.083
Ac 2.639 -1.314 2.064
Ac 6.562 0.000 2.074
Ac 3.923 7.877 -2.083
Ac 1.314 2.639 2.064
Ac 5.248 3.923 2.083
Ac 2.639 -1.314 6.231
Ac 0.000 6.562 2.074
Ac 3.923 7.877 2.083
Ac 1.314 2.639 6.231
Tb 3.938 1.315 0.000
Tb 5.247 -2.624 4.147
Tb 1.315 9.186 0.000
Tb 2.624 5.247 4.147
Nd 0.000 0.000 4.147
```

---

[2]
An optimized crystal structure of ScCd2Se, computed with GGA-PBE.

## Properties
ΔE_f (raw): -0.429 eV/atom
mass density: 6.124 g/cm3

The structure in extended XYZ format:
```
4
Lattice="-1.843 2.446 5.246 1.843 -2.446 5.246 1.843 2.446 -5.246" Properties=species:S:1:pos:R:3 pbc="T T T"
Sc 0.000 0.000 0.000
Cd 0.000 0.000 4.806
Cd 0.000 2.446 2.630
Se 1.843 0.000 1.862
```

---

[3]
An optimized crystal structure of Cs2Ga3I9, computed with GGA-PBE.

## Properties
ΔE_f (raw): -0.717 eV/atom
mass density: 3.331 g/cm3

The structure in extended XYZ format:
```
28
Lattice="6.213 -11.779 0.000 6.213 11.779 0.000 -3.687 0.000 11.017" Properties=species:S:1:pos:R:3 pbc="T T T"
Cs 2.385 7.446 7.868
Cs 6.355 7.446 3.149
Cs 2.385 -7.446 7.868
Cs 6.355 -7.446 3.149
Ga 0.634 2.750 9.523
Ga 2.707 0.000 3.201
Ga 0.634 -2.750 9.523
Ga 8.106 2.750 1.493
Ga 6.033 0.000 7.816
Ga 8.106 -2.750 1.493
I -1.672 3.344 10.807
I 0.295 4.242 7.154
I 0.228 0.000 2.862
I -1.672 -3.344 10.807
I 6.213 4.344 0.000
I 3.938 2.151 3.415
I 0.943 0.000 9.360
I 0.295 -4.242 7.154
I 3.938 -2.151 3.415
I 4.802 2.151 7.601
I 8.445 4.242 3.863
I 7.798 0.000 1.656
I 4.802 -2.151 7.601
I 6.213 -4.344 0.000
I 10.412 3.344 0.210
I 8.512 0.000 8.154
I 8.445 -4.242 3.863
I 10.412 -3.344 0.210
```

---

[4]
An optimized crystal structure of CsPaAlN3, computed with GGA-PBE.

## Properties
ΔE_f (raw): -1.115 eV/atom
mass density: 5.820 g/cm3

The structure in extended XYZ format:
```
12
Lattice="8.428 0.000 0.000 0.000 3.584 0.000 -2.950 0.000 8.179" Properties=species:S:1:pos:R:3 pbc="T T T"
Cs 1.084 0.896 1.899
Cs 4.394 2.688 6.279
Pa 0.334 2.688 6.957
Pa 5.144 0.896 1.221
Al -1.100 0.896 4.943
Al 6.578 2.688 3.236
N -0.437 2.688 4.519
N -1.062 0.896 6.815
N 3.747 2.688 1.011
N 1.731 0.896 7.168
N 6.540 2.688 1.363
N 5.915 0.896 3.660
```

---

[5]
An optimized crystal structure of Ba2SrSb, computed with GGA-PBE.

## Properties
ΔE_f (raw): -0.247 eV/atom
mass density: 4.813 g/cm3

The structure in extended XYZ format:
```
4
Lattice="0.000 4.371 4.371 4.371 0.000 4.371 4.371 4.371 0.000" Properties=species:S:1:pos:R:3 pbc="T T T"
Ba 0.000 0.000 0.000
Ba 2.185 2.185 2.185
Sr 4.371 4.371 4.371
Sb 6.556 6.556 6.556
```

---

[6]
An optimized crystal structure of Ti3SiS, computed with GGA-PBE.

## Properties
ΔE_f (raw): -0.308 eV/atom
mass density: 3.881 g/cm3
excess energy over the best structure of this formula in the dataset: 0 meV per atom

The structure in extended XYZ format:
```
5
Lattice="4.434 0.000 0.000 0.000 4.434 0.000 0.000 0.000 4.434" Properties=species:S:1:pos:R:3 pbc="T T T"
Ti 0.000 0.000 2.217
Ti 0.000 2.217 0.000
Ti 2.217 0.000 0.000
Si 2.217 2.217 2.217
S 0.000 0.000 0.000
```

---

[7]
An optimized crystal structure of Li2TeCl, computed with GGA-PBE.

## Properties
ΔE_f (raw): -1.048 eV/atom
mass density: 3.042 g/cm3
excess energy over the best structure of this formula in the dataset: 163 meV per atom

The structure in extended XYZ format:
```
8
Lattice="-3.173 3.173 4.796 3.173 -3.173 4.796 3.173 3.173 -4.796" Properties=species:S:1:pos:R:3 pbc="T T T"
Li 4.760 1.193 -1.199
Li 1.193 1.587 1.199
Li -1.587 1.980 3.597
Li 1.980 1.587 5.995
Te 3.173 0.000 2.398
Te 0.000 0.000 4.796
Cl 0.000 0.000 0.000
Cl 0.000 3.173 2.398
```

---

[8]
An optimized crystal structure of Cs2GaSiS4, computed with GGA-PBE.

## Properties
ΔE_f (raw): -0.891 eV/atom
mass density: 3.036 g/cm3

The structure in extended XYZ format:
```
16
Lattice="0.000 7.015 12.540 3.058 0.000 12.540 3.058 7.015 0.000" Properties=species:S:1:pos:R:3 pbc="T T T"
Cs 2.294 5.262 1.310
Cs 3.823 8.769 7.580
Cs 2.294 5.262 17.501
Cs 3.823 8.769 23.771
Ga 0.765 1.754 3.135
Ga 5.352 12.277 21.945
Si 2.294 5.262 9.405
Si 3.823 8.769 15.675
S 3.563 4.020 8.191
S 3.563 6.503 10.620
S 5.092 7.528 16.890
S 5.092 10.011 14.461
S 1.025 4.020 10.620
S 1.025 6.503 8.191
S 2.554 7.528 14.461
S 2.554 10.011 16.890
```

---

[9]
An optimized crystal structure of Tb6Pm2PrY2, computed with GGA-PBE.

## Properties
mass density: 6.995 g/cm3
E_form: 0.16 eV/atom

The structure in extended XYZ format:
```
11
Lattice="2.850 -6.029 0.000 2.850 6.029 0.000 -0.014 0.000 10.791" Properties=species:S:1:pos:R:3 pbc="T T T"
Tb 0.001 0.000 3.065
Tb 2.835 1.859 8.510
Tb 2.852 1.859 2.281
Tb 2.835 -1.859 8.510
Tb 2.852 -1.859 2.281
Tb 5.685 0.000 7.726
Pm 2.850 4.381 0.000
Pm 2.850 -4.381 0.000
Pr 2.843 0.000 5.395
Y 2.843 3.650 5.395
Y 2.843 -3.650 5.395
```

---

[10]
An optimized crystal structure of UPaSbSe, computed with GGA-PBE.

## Properties
ΔE_f (raw): -0.568 eV/atom
mass density: 11.315 g/cm3

The structure in extended XYZ format:
```
4
Lattice="0.000 3.663 3.663 3.663 0.000 3.663 3.663 3.663 0.000" Properties=species:S:1:pos:R:3 pbc="T T T"
U 0.000 0.000 0.000
Pa 3.663 3.663 3.663
Sb 5.494 5.494 5.494
Se 1.831 1.831 1.831
```

---

[11]
An optimized crystal structure of Ta2ZnHPd, computed with GGA-PBE.

## Properties
mass density: 13.030 g/cm3
excess energy over the best structure of this formula in the dataset: 39 meV per atom

The structure in extended XYZ format:
```
5
Lattice="3.960 0.000 0.000 0.000 3.960 0.000 0.000 0.000 4.346" Properties=species:S:1:pos:R:3 pbc="T T T"
Ta 0.000 1.980 0.000
Ta 1.980 0.000 0.000
Zn 0.000 0.000 2.173
H 0.000 0.000 0.000
Pd 1.980 1.980 2.173
```

---

[12]
An optimized crystal structure of Cs3Sm2BiSe6, computed with GGA-PBE.

## Properties
ΔE_f (raw): -1.415 eV/atom
mass density: 5.522 g/cm3

The structure in extended XYZ format:
```
12
Lattice="3.784 -6.553 0.000 3.784 6.553 0.000 -2.522 0.000 8.381" Properties=species:S:1:pos:R:3 pbc="T T T"
Cs 0.000 0.000 0.000
Cs 3.784 2.173 0.000
Cs 3.784 -2.173 0.000
Sm 2.522 4.368 4.191
Sm 2.522 -4.368 4.191
Bi 2.522 0.000 4.191
Se 1.250 2.204 2.601
Se -0.023 0.000 5.780
Se 1.250 -2.204 2.601
Se 3.795 2.204 5.781
Se 5.068 0.000 2.602
Se 3.795 -2.204 5.781
```

---

[13]
An optimized crystal structure of FeSb2Au2, computed with GGA-PBE.

## Properties
ΔE_f (raw): 0.309 eV/atom
mass density: 10.735 g/cm3

The structure in extended XYZ format:
```
10
Lattice="7.216 0.000 0.000 0.000 7.216 0.000 0.000 0.000 4.119" Properties=species:S:1:pos:R:3 pbc="T T T"
Fe 0.000 0.000 0.000
Fe 3.608 3.608 0.000
Sb 1.229 2.379 2.060
Sb 2.379 5.987 2.060
Sb 4.837 1.229 2.060
Sb 5.987 4.837 2.060
Au 1.023 4.631 0.000
Au 2.585 1.023 0.000
Au 4.631 6.193 0.000
Au 6.193 2.585 0.000
```

---

[14]
An optimized crystal structure of Th4Ni3Rh, computed with GGA-PBE.

## Properties
mass density: 11.277 g/cm3
E_form: -0.55 eV/atom

The structure in extended XYZ format:
```
8
Lattice="3.788 0.000 0.000 0.000 4.270 0.000 0.000 0.000 10.990" Properties=species:S:1:pos:R:3 pbc="T T T"
Th 0.000 0.000 0.000
Th 0.000 2.135 2.953
Th 1.894 0.000 5.357
Th 1.894 2.135 8.395
Ni 0.000 2.135 5.947
Ni 1.894 0.000 2.295
Ni 1.894 2.135 0.518
Rh 0.000 0.000 7.961
```

---

[15]
An optimized crystal structure of LaNpS2N, computed with GGA-PBE.

## Properties
ΔE_f (raw): -1.648 eV/atom
mass density: 6.854 g/cm3

The structure in extended XYZ format:
```
10
Lattice="3.914 0.000 0.000 0.000 3.914 0.000 0.000 0.000 14.364" Properties=species:S:1:pos:R:3 pbc="T T T"
La 0.978 0.978 1.857
La 2.935 2.935 12.508
Np 0.978 0.978 8.311
Np 2.935 2.935 6.053
S 0.978 0.978 4.610
S 0.978 0.978 13.098
S 2.935 2.935 1.266
S 2.935 2.935 9.755
N 0.978 2.935 7.182
N 2.935 0.978 7.182
```

---

[16]
An optimized crystal structure of Ba2Ga2Ag5, computed with GGA-PBE.

## Properties
mass density: 6.865 g/cm3
E_form: -0.16 eV/atom

The structure in extended XYZ format:
```
9
Lattice="4.768 0.000 0.000 0.000 4.768 0.000 0.000 0.000 10.145" Properties=species:S:1:pos:R:3 pbc="T T T"
Ba 0.000 0.000 0.000
Ba 0.000 0.000 5.073
Ga 2.384 2.384 1.511
Ga 2.384 2.384 8.634
Ag 0.000 2.384 2.703
Ag 0.000 2.384 7.443
Ag 2.384 0.000 2.703
Ag 2.384 0.000 7.443
Ag 2.384 2.384 5.073
```

---

[17]
An optimized crystal structure of DyHo2Er, computed with GGA-PBE.

## Properties
mass density: 8.906 g/cm3
E_form: 0.02 eV/atom
excess energy over the best structure of this formula in the dataset: 20 meV per atom

The structure in extended XYZ format:
```
4
Lattice="4.973 0.000 0.000 0.000 4.973 0.000 0.000 0.000 4.973" Properties=species:S:1:pos:R:3 pbc="T T T"
Dy 0.000 0.000 0.000
Ho 0.000 2.486 2.487
Ho 2.486 0.000 2.487
Er 2.486 2.486 0.000
```

---

[18]
An optimized crystal structure of In2HgI4, computed with GGA-PBE.

## Properties
ΔE_f (raw): -0.373 eV/atom
mass density: 5.172 g/cm3
excess energy over the best structure of this formula in the dataset: 0 meV per atom

The structure in extended XYZ format:
```
14
Lattice="8.053 0.000 0.000 0.000 8.382 0.000 -2.757 0.000 8.922" Properties=species:S:1:pos:R:3 pbc="T T T"
In 1.604 2.096 0.505
In 0.273 2.096 4.997
In 5.023 6.287 3.925
In 3.691 6.287 8.417
Hg 1.140 6.287 2.748
Hg 4.155 2.096 6.174
I -2.046 4.258 6.762
I -2.046 8.316 6.762
I 1.888 6.287 5.470
I 3.294 6.287 0.932
I 2.001 2.096 7.990
I 3.407 2.096 3.452
I 7.341 0.066 2.160
I 7.341 4.125 2.160
```

---

[19]
An optimized crystal structure of Tb4SmTl5, computed with GGA-PBE.

## Properties
mass density: 10.776 g/cm3
E_form: -0.36 eV/atom

The structure in extended XYZ format:
```
10
Lattice="3.785 0.000 0.000 0.000 3.785 0.000 0.000 0.000 19.442" Properties=species:S:1:pos:R:3 pbc="T T T"
Tb 0.000 0.000 1.927
Tb 0.000 0.000 5.783
Tb 0.000 0.000 13.659
Tb 0.000 0.000 17.514
Sm 0.000 0.000 9.721
Tl 1.893 1.893 0.000
Tl 1.893 1.893 3.853
Tl 1.893 1.893 7.706
Tl 1.893 1.893 11.735
Tl 1.893 1.893 15.589
```

---

[20]
An optimized crystal structure of Ba2CaSb, computed with GGA-PBE.

## Properties
ΔE_f (raw): -0.431 eV/atom
mass density: 3.221 g/cm3

The structure in extended XYZ format:
```
4
Lattice="2.436 1.406 10.947 -2.436 1.406 10.947 0.000 -2.813 10.947" Properties=species:S:1:pos:R:3 pbc="T T T"
Ba 0.000 0.000 7.391
Ba 0.000 0.000 25.451
Ca 0.000 0.000 0.000
Sb 0.000 0.000 16.421
```